Record 1
Computed, not measured: a relaxed DySi3Rh crystal at the GGA-PBE level of DFT.

Results
- SG = P2_1/m, No. 11

Lattice parameters (Å, degrees): 5.330 5.645 5.640 90.00 91.96 90.00
Positions (direct):
Dy (0.124, 0.250, 0.271)
Dy (0.876, 0.750, 0.729)
Si (0.041, 0.750, 0.203)
Si (0.370, 0.026, 0.812)
Si (0.370, 0.474, 0.812)
Si (0.630, 0.526, 0.188)
Si (0.630, 0.974, 0.188)
Si (0.959, 0.250, 0.797)
Rh (0.376, 0.750, 0.487)
Rh (0.624, 0.250, 0.513)

---

Record 2
Computed, not measured: a relaxed DySi2Rh4 crystal at the GGA-PBE level of DFT.

Results
- E above lowest polymorph (eV/atom) = 0.029
- SG = P4_2/mnm, No. 136

Lattice parameters (Å, degrees): 7.649 7.649 3.754 90.00 90.00 90.00
Positions (direct):
Dy (0.000, 0.000, 0.000)
Dy (0.500, 0.500, 0.500)
Si (0.229, 0.229, 0.500)
Si (0.271, 0.729, 0.000)
Si (0.729, 0.271, 0.000)
Si (0.771, 0.771, 0.500)
Rh (0.073, 0.672, 0.500)
Rh (0.172, 0.427, 0.000)
Rh (0.328, 0.927, 0.500)
Rh (0.427, 0.172, 0.000)
Rh (0.573, 0.828, 0.000)
Rh (0.672, 0.073, 0.500)
Rh (0.828, 0.573, 0.000)
Rh (0.927, 0.328, 0.500)

---

Record 3
Computed, not measured: a relaxed Dy2Si4Rh5 crystal at the GGA-PBE level of DFT.

Results
- SG = Fmmm, No. 69

Lattice parameters (Å, degrees): 8.429 7.496 5.529 79.07 60.84 40.09
Positions (direct):
Dy (0.129, 0.129, 0.871)
Dy (0.871, 0.871, 0.129)
Si (0.216, 0.518, 0.482)
Si (0.482, 0.784, 0.216)
Si (0.518, 0.216, 0.784)
Si (0.784, 0.482, 0.518)
Rh (0.000, 0.000, 0.500)
Rh (0.250, 0.250, 0.250)
Rh (0.500, 0.500, 0.000)
Rh (0.500, 0.500, 0.500)
Rh (0.750, 0.750, 0.750)

---

Record 4
Computed, not measured: a relaxed Dy3Si2Rh5 crystal at the GGA-PBE level of DFT.

Results
- SG = P4/mbm, No. 127

Lattice parameters (Å, degrees): 9.975 9.975 3.539 90.00 90.00 90.00
Positions (direct):
Dy (0.000, 0.000, 0.000)
Dy (0.174, 0.326, 0.000)
Dy (0.326, 0.826, 0.000)
Dy (0.500, 0.500, 0.000)
Dy (0.674, 0.174, 0.000)
Dy (0.826, 0.674, 0.000)
Si (0.123, 0.623, 0.000)
Si (0.377, 0.123, 0.000)
Si (0.623, 0.877, 0.000)
Si (0.877, 0.377, 0.000)
Rh (0.000, 0.500, 0.500)
Rh (0.070, 0.778, 0.500)
Rh (0.222, 0.070, 0.500)
Rh (0.278, 0.570, 0.500)
Rh (0.430, 0.278, 0.500)
Rh (0.500, 0.000, 0.500)
Rh (0.570, 0.722, 0.500)
Rh (0.722, 0.430, 0.500)
Rh (0.778, 0.930, 0.500)
Rh (0.930, 0.222, 0.500)

---

Record 5
Computed, not measured: a relaxed DySi3TcRh crystal at the GGA-PBE level of DFT.

Results
- SG = Cmcm, No. 63

Lattice parameters (Å, degrees): 6.751 6.751 5.468 90.00 90.00 111.35
Positions (direct):
Dy (0.245, 0.755, 0.750)
Dy (0.755, 0.245, 0.250)
Si (0.247, 0.753, 0.250)
Si (0.251, 0.251, 0.000)
Si (0.251, 0.251, 0.500)
Si (0.749, 0.749, 0.000)
Si (0.749, 0.749, 0.500)
Si (0.753, 0.247, 0.750)
Tc (0.446, 0.554, 0.250)
Tc (0.554, 0.446, 0.750)
Rh (0.050, 0.950, 0.250)
Rh (0.950, 0.050, 0.750)

---

Record 6
Computed, not measured: a relaxed DyTh2Si2Rh7 crystal at the GGA-PBE level of DFT.

Results
- SG = C2/m, No. 12

Lattice parameters (Å, degrees): 4.096 4.096 13.082 95.68 95.68 89.36
Positions (direct):
Dy (0.000, 0.000, 0.000)
Th (0.099, 0.099, 0.348)
Th (0.901, 0.901, 0.652)
Si (0.423, 0.423, 0.749)
Si (0.577, 0.577, 0.251)
Rh (0.050, 0.550, 0.163)
Rh (0.348, 0.348, 0.568)
Rh (0.450, 0.950, 0.837)
Rh (0.500, 0.500, 0.000)
Rh (0.550, 0.050, 0.163)
Rh (0.652, 0.652, 0.432)
Rh (0.950, 0.450, 0.837)

---

Record 7
Computed, not measured: a relaxed DyTm2Si2Rh5 crystal at the GGA-PBE level of DFT.

Results
- SG = P4/mbm, No. 127

Lattice parameters (Å, degrees): 9.899 9.899 3.532 90.00 90.00 90.00
Positions (direct):
Dy (0.000, 0.000, 0.000)
Dy (0.500, 0.500, 0.000)
Tm (0.173, 0.327, 0.000)
Tm (0.327, 0.827, 0.000)
Tm (0.673, 0.173, 0.000)
Tm (0.827, 0.673, 0.000)
Si (0.124, 0.624, 0.000)
Si (0.376, 0.124, 0.000)
Si (0.624, 0.876, 0.000)
Si (0.876, 0.376, 0.000)
Rh (0.000, 0.500, 0.500)
Rh (0.071, 0.779, 0.500)
Rh (0.221, 0.071, 0.500)
Rh (0.279, 0.571, 0.500)
Rh (0.429, 0.279, 0.500)
Rh (0.500, 0.000, 0.500)
Rh (0.571, 0.721, 0.500)
Rh (0.721, 0.429, 0.500)
Rh (0.779, 0.929, 0.500)
Rh (0.929, 0.221, 0.500)

---

Record 8
Computed, not measured: a relaxed DyYSiRh crystal at the GGA-PBE level of DFT.

Results
- SG = Amm2, No. 38

Lattice parameters (Å, degrees): 4.056 5.630 5.630 43.09 90.00 90.00
Positions (direct):
Dy (0.000, 0.000, 0.000)
Y (0.500, 0.282, 0.282)
Si (0.500, 0.572, 0.572)
Rh (0.000, 0.715, 0.715)

---

| no. | formation energy without anion corrections (kJ/mol of atoms) | ρ (Mg/m³) | DOS(E_F) (states/eV/cell) |
| --- | --- | --- | --- |
| 1 | -61 | 6.85 | 4.523 |
| 2 | -86 | 9.53 | 9.578 |
| 3 | -94 | 8.51 | 4.511 |
| 4 | -97 | 9.98 | 7.850 |
| 5 | -41 | 6.41 | 5.404 |
| 6 | -86 | 10.72 | 5.854 |
| 7 | -99 | 10.28 | 7.898 |
| 8 | -82 | 7.23 | 2.622 |